Computed, not measured: a relaxed KInAsCl crystal at the PBE-GGA level of DFT.

Calculated values
excess energy over the best structure of this formula in the dataset: 25 meV per atom
magnetization: 0.00 Bohr magnetons per cell
formation energy (no corrections): -87.0 kJ per mole of atoms

Lattice parameters (Å, degrees): 4.3472 4.3475 8.3381 75.04 74.97 60.05
Fractional positions:
K: 0.0000 0.0000 0.0000
In: 0.8483 0.8445 0.4549
As: 0.5540 0.5496 0.3377
Cl: 0.7385 0.7374 0.7845